No. 1
{
  "formula": "MgHgPb2",
  "functional": "PBE",
  "state": "relaxed",
  "mass_density_g_cm3": 9.8,
  "sg": "Cmmm",
  "dft_energy_ev_per_atom": -2.34,
  "lattice": [[3.412, -4.458, 0.000], [3.412, 4.458, 0.000], [0.000, 0.000, 3.566]],
  "species": ["Mg", "Hg", "Pb", "Pb"],
  "fractional_positions": [[0.000, 0.000, 0.000], [0.500, 0.500, 0.000], [0.000, 0.500, 0.500], [0.500, 0.000, 0.500]]
}

---

No. 2
{
  "formula": "Mg5Hg2Pb2",
  "functional": "PBE",
  "state": "relaxed",
  "mass_density_g_cm3": 7.0,
  "sg": "Cmce",
  "dft_energy_ev_per_atom": -1.88,
  "lattice": [[7.599, -3.802, 0.000], [7.599, 3.802, 0.000], [0.000, 0.000, 7.697]],
  "species": ["Mg", "Mg", "Mg", "Mg", "Mg", "Mg", "Mg", "Mg", "Mg", "Mg", "Hg", "Hg", "Hg", "Hg", "Pb", "Pb", "Pb", "Pb"],
  "fractional_positions": [[0.000, 0.000, 0.000], [0.035, 0.711, 0.662], [0.211, 0.535, 0.162], [0.289, 0.965, 0.662], [0.465, 0.789, 0.162], [0.500, 0.500, 0.500], [0.535, 0.211, 0.838], [0.711, 0.035, 0.338], [0.789, 0.465, 0.838], [0.965, 0.289, 0.338], [0.142, 0.858, 0.358], [0.358, 0.642, 0.858], [0.642, 0.358, 0.142], [0.858, 0.142, 0.642], [0.208, 0.208, 0.000], [0.292, 0.292, 0.500], [0.708, 0.708, 0.500], [0.792, 0.792, 0.000]]
}

---

No. 3
{
  "formula": "Mg2HgPb",
  "functional": "PBE",
  "state": "relaxed",
  "mass_density_g_cm3": 7.4,
  "de_polymorph_mev_per_atom": 152,
  "sg": "Cmm2",
  "dft_energy_ev_per_atom": -1.79,
  "lattice": [[1.840, -2.787, 0.000], [1.840, 2.787, 0.000], [0.000, 0.000, 10.029]],
  "species": ["Mg", "Mg", "Hg", "Pb"],
  "fractional_positions": [[0.000, 0.000, 0.000], [0.500, 0.500, 0.244], [0.000, 0.000, 0.467], [0.500, 0.500, 0.740]]
}

---

No. 4
{
  "formula": "Mg7Hg2Pb2",
  "functional": "PBE",
  "state": "relaxed",
  "mass_density_g_cm3": 5.8,
  "de_polymorph_mev_per_atom": 52,
  "sg": "Cmmm",
  "dft_energy_ev_per_atom": -1.79,
  "lattice": [[3.454, -5.158, 0.000], [3.454, 5.158, 0.000], [0.000, 0.000, 7.913]],
  "species": ["Mg", "Mg", "Mg", "Mg", "Mg", "Mg", "Mg", "Hg", "Hg", "Pb", "Pb"],
  "fractional_positions": [[0.000, 0.000, 0.000], [0.000, 0.500, 0.291], [0.000, 0.500, 0.709], [0.500, 0.000, 0.291], [0.500, 0.000, 0.709], [0.500, 0.500, 0.197], [0.500, 0.500, 0.803], [0.270, 0.730, 0.000], [0.730, 0.270, 0.000], [0.228, 0.228, 0.500], [0.772, 0.772, 0.500]]
}

---

No. 5
{
  "formula": "Mg2HgPb6",
  "functional": "PBE",
  "state": "relaxed",
  "mass_density_g_cm3": 9.4,
  "sg": "P-6m2",
  "dft_energy_ev_per_atom": -2.85,
  "lattice": [[3.590, 0.000, 0.000], [-1.795, 3.109, 0.000], [0.000, 0.000, 23.550]],
  "species": ["Mg", "Mg", "Hg", "Pb", "Pb", "Pb", "Pb", "Pb", "Pb"],
  "fractional_positions": [[0.000, 0.000, 0.168], [0.000, 0.000, 0.832], [0.667, 0.333, 0.500], [0.000, 0.000, 0.390], [0.000, 0.000, 0.610], [0.667, 0.333, 0.068], [0.667, 0.333, 0.271], [0.667, 0.333, 0.729], [0.667, 0.333, 0.932]]
}

---

No. 6
{
  "formula": "MgHgPb2",
  "functional": "PBE",
  "state": "relaxed",
  "mass_density_g_cm3": 9.8,
  "sg": "I-4m2",
  "dft_energy_ev_per_atom": -2.34,
  "lattice": [[-2.341, 2.341, 4.962], [2.341, -2.341, 4.962], [2.341, 2.341, -4.962]],
  "species": ["Mg", "Hg", "Pb", "Pb"],
  "fractional_positions": [[0.000, 0.000, 0.000], [0.750, 0.250, 0.500], [0.250, 0.750, 0.500], [0.500, 0.500, 0.000]]
}

---

No. 7
{
  "formula": "MgHgPb2",
  "functional": "PBE",
  "state": "relaxed",
  "mass_density_g_cm3": 9.6,
  "sg": "Amm2",
  "dft_energy_ev_per_atom": -2.36,
  "lattice": [[3.556, 0.000, 0.000], [0.000, 1.727, 9.001], [0.000, -1.727, 9.001]],
  "species": ["Mg", "Hg", "Pb", "Pb"],
  "fractional_positions": [[0.000, 0.000, 0.000], [0.500, 0.413, 0.413], [0.000, 0.784, 0.784], [0.500, 0.144, 0.144]]
}

---

No. 8
{
  "formula": "Mg4Hg5Pb",
  "functional": "PBE",
  "state": "relaxed",
  "mass_density_g_cm3": 9.6,
  "sg": "P4/mmm",
  "dft_energy_ev_per_atom": -1.33,
  "lattice": [[3.526, 0.000, 0.000], [0.000, 3.526, 0.000], [0.000, 0.000, 18.269]],
  "species": ["Mg", "Mg", "Mg", "Mg", "Hg", "Hg", "Hg", "Hg", "Hg", "Pb"],
  "fractional_positions": [[0.000, 0.000, 0.094], [0.000, 0.000, 0.283], [0.000, 0.000, 0.717], [0.000, 0.000, 0.906], [0.500, 0.500, 0.000], [0.500, 0.500, 0.187], [0.500, 0.500, 0.376], [0.500, 0.500, 0.624], [0.500, 0.500, 0.813], [0.000, 0.000, 0.500]]
}

---

No. 9
{
  "formula": "MgHg8Pb2",
  "functional": "PBE",
  "state": "relaxed",
  "mass_density_g_cm3": 11.6,
  "sg": "P4/mmm",
  "dft_energy_ev_per_atom": -1.04,
  "lattice": [[4.772, 0.000, 0.000], [0.000, 4.772, 0.000], [0.000, 0.000, 12.842]],
  "species": ["Mg", "Hg", "Hg", "Hg", "Hg", "Hg", "Hg", "Hg", "Hg", "Pb", "Pb"],
  "fractional_positions": [[0.000, 0.000, 0.000], [0.000, 0.500, 0.128], [0.000, 0.500, 0.500], [0.000, 0.500, 0.872], [0.500, 0.000, 0.128], [0.500, 0.000, 0.500], [0.500, 0.000, 0.872], [0.500, 0.500, 0.310], [0.500, 0.500, 0.690], [0.000, 0.000, 0.312], [0.000, 0.000, 0.688]]
}

---

No. 10
{
  "formula": "Mg8HgPb2",
  "functional": "PBE",
  "state": "relaxed",
  "mass_density_g_cm3": 5.2,
  "de_polymorph_mev_per_atom": 0,
  "sg": "C2/m",
  "dft_energy_ev_per_atom": -1.93,
  "lattice": [[8.267, -2.257, 0.000], [8.267, 2.257, 0.000], [-2.139, 0.000, 6.962]],
  "species": ["Mg", "Mg", "Mg", "Mg", "Mg", "Mg", "Mg", "Mg", "Hg", "Pb", "Pb"],
  "fractional_positions": [[0.039, 0.039, 0.232], [0.136, 0.136, 0.679], [0.325, 0.325, 0.588], [0.413, 0.413, 0.053], [0.587, 0.587, 0.947], [0.675, 0.675, 0.412], [0.864, 0.864, 0.321], [0.961, 0.961, 0.768], [0.500, 0.500, 0.500], [0.219, 0.219, 0.152], [0.781, 0.781, 0.848]]
}

---

No. 11
{
  "formula": "Mg6HgPb2",
  "functional": "PBE",
  "state": "relaxed",
  "mass_density_g_cm3": 5.9,
  "sg": "P-62m",
  "dft_energy_ev_per_atom": -2.03,
  "lattice": [[8.037, 0.000, 0.000], [-4.019, 6.960, 0.000], [0.000, 0.000, 3.859]],
  "species": ["Mg", "Mg", "Mg", "Mg", "Mg", "Mg", "Hg", "Pb", "Pb"],
  "fractional_positions": [[0.000, 0.259, 0.000], [0.000, 0.629, 0.500], [0.259, 0.000, 0.000], [0.371, 0.371, 0.500], [0.629, 0.000, 0.500], [0.741, 0.741, 0.000], [0.000, 0.000, 0.500], [0.333, 0.667, 0.000], [0.667, 0.333, 0.000]]
}

---

No. 12
{
  "formula": "MgHgPb2",
  "functional": "PBE",
  "state": "relaxed",
  "mass_density_g_cm3": 9.7,
  "sg": "Pm",
  "dft_energy_ev_per_atom": -2.36,
  "lattice": [[3.552, 0.000, 0.000], [0.000, 4.966, 0.000], [-1.722, 0.000, 6.207]],
  "species": ["Mg", "Hg", "Pb", "Pb"],
  "fractional_positions": [[0.000, 0.000, 0.000], [0.856, 0.500, 0.746], [0.255, 0.000, 0.529], [0.607, 0.500, 0.216]]
}

---

| no. | ΔH_f (0 K) (eV/atom) | total moment (μB/f.u.) |
| --- | --- | --- |
| 1 | -0.0150 | 0.00 |
| 2 | -0.1055 | 0.00 |
| 3 | 0.0076 | 0.00 |
| 4 | -0.0504 | 0.00 |
| 5 | 0.0120 | 0.00 |
| 6 | -0.0158 | 0.00 |
| 7 | -0.0307 | 0.00 |
| 8 | -0.1691 | 0.00 |
| 9 | 0.0032 | 0.00 |
| 10 | -0.0677 | 0.00 |
| 11 | -0.1124 | 0.00 |
| 12 | -0.0287 | 0.00 |